Entry from Alexandria via LeMat-Bulk: a relaxed LaBP2N crystal (GGA-PBE).

Results
Magnetization = 0.00 μB/f.u.
Calculated density = 4.64 g cm⁻³
Uncorrected formation energy = 0.528 eV per atom
Density of states at the Fermi level = 2.6 states/eV/f.u.

Lattice parameters (Å, degrees): 4.047 4.047 4.930 90.00 90.00 90.00
Atoms (fractional coordinates):
La 0.000 0.000 0.000
B 0.500 0.500 0.000
P 0.000 0.500 0.500
P 0.500 0.000 0.500
N 0.000 0.000 0.500